1.
# Tb14ErHf, optimized geometry, DFT PBE-GGA
# DFT formation energy (eV per atom): 0.0481
# Volume (Å³/cell): 496.0
# Theoretical density (g cm⁻³): 8.6
data_Tb14ErHf
_chemical_formula_sum 'Tb14 Er1 Hf1'
_symmetry_space_group_name_H-M 'P 4/m m m'
_symmetry_Int_Tables_number 123
_symmetry_space_group_name_Hall '-P 4 2'
_cell_length_a 7.0591
_cell_length_b 7.0591
_cell_length_c 9.9542
_cell_angle_alpha 90.00
_cell_angle_beta 90.00
_cell_angle_gamma 90.00
loop_
_atom_site_label
_atom_site_type_symbol
_atom_site_fract_x
_atom_site_fract_y
_atom_site_fract_z
Tb1 Tb 0.0000 0.0000 0.0000
Tb2 Tb 0.0000 0.5000 0.0000
Tb3 Tb 0.0000 0.5000 0.5000
Tb4 Tb 0.2447 0.2447 0.2562
Tb5 Tb 0.5000 0.5000 0.0000
Er1 Er 0.5000 0.5000 0.5000
Hf1 Hf 0.0000 0.0000 0.5000

---

2.
# TbErHf, optimized geometry, DFT PBE-GGA
# Relative energy among the computed polymorphs (eV per atom): 0.027
# DFT formation energy (eV per atom): 0.1146
# Volume (Å³/cell): 166.3
# Theoretical density (g cm⁻³): 10.1
data_TbErHf
_chemical_formula_sum 'Tb2 Er2 Hf2'
_symmetry_space_group_name_H-M 'I 4 m m'
_symmetry_Int_Tables_number 107
_symmetry_space_group_name_Hall 'I 4 -2'
_cell_length_a 3.3561
_cell_length_b 3.3561
_cell_length_c 14.7629
_cell_angle_alpha 90.00
_cell_angle_beta 90.00
_cell_angle_gamma 90.00
loop_
_atom_site_label
_atom_site_type_symbol
_atom_site_fract_x
_atom_site_fract_y
_atom_site_fract_z
Tb1 Tb 0.0000 0.0000 0.0000
Er1 Er 0.0000 0.0000 0.3103
Hf1 Hf 0.0000 0.0000 0.6569

---

3.
# Tb12Er7Hf, optimized geometry, DFT PBE-GGA
# DFT formation energy (eV per atom): 0.2989
# Volume (Å³/cell): 1906.5
# Theoretical density (g cm⁻³): 8.5
data_Tb12Er7Hf
_chemical_formula_sum 'Tb36 Er21 Hf3'
_symmetry_space_group_name_H-M 'R -3'
_symmetry_Int_Tables_number 148
_symmetry_space_group_name_Hall '-R 3'
_cell_length_a 12.6348
_cell_length_b 12.6348
_cell_length_c 13.7905
_cell_angle_alpha 90.00
_cell_angle_beta 90.00
_cell_angle_gamma 120.00
loop_
_atom_site_label
_atom_site_type_symbol
_atom_site_fract_x
_atom_site_fract_y
_atom_site_fract_z
Tb1 Tb 0.0028 0.5675 0.2454
Tb2 Tb 0.0655 0.8683 0.3418
Er1 Er 0.0000 0.0000 0.5000
Er2 Er 0.0662 0.1976 0.8581
Hf1 Hf 0.0000 0.0000 0.0000

---

4.
# Tb2ErHf, optimized geometry, DFT PBE-GGA
# Relative energy among the computed polymorphs (eV per atom): 0.000
# DFT formation energy (eV per atom): 0.1162
# Volume (Å³/cell): 342.8
# Theoretical density (g cm⁻³): 9.6
data_Tb2ErHf
_chemical_formula_sum 'Tb6 Er3 Hf3'
_symmetry_space_group_name_H-M 'R 3 m'
_symmetry_Int_Tables_number 160
_symmetry_space_group_name_Hall 'R 3 -2"'
_cell_length_a 3.4381
_cell_length_b 3.4381
_cell_length_c 33.4867
_cell_angle_alpha 90.00
_cell_angle_beta 90.00
_cell_angle_gamma 120.00
loop_
_atom_site_label
_atom_site_type_symbol
_atom_site_fract_x
_atom_site_fract_y
_atom_site_fract_z
Tb1 Tb 0.0000 0.0000 0.0000
Tb2 Tb 0.0000 0.0000 0.1762
Er1 Er 0.0000 0.0000 0.4213
Hf1 Hf 0.0000 0.0000 0.5881

---

5.
# TbErHf, optimized geometry, DFT PBE-GGA
# Relative energy among the computed polymorphs (eV per atom): 0.131
# DFT formation energy (eV per atom): 0.2183
# Volume (Å³/cell): 175.3
# Theoretical density (g cm⁻³): 9.6
data_TbErHf
_chemical_formula_sum 'Tb2 Er2 Hf2'
_symmetry_space_group_name_H-M 'P 4/n m m'
_symmetry_Int_Tables_number 129
_cell_length_a 4.6275
_cell_length_b 4.6275
_cell_length_c 8.1843
_cell_angle_alpha 90.00
_cell_angle_beta 90.00
_cell_angle_gamma 90.00
loop_
_symmetry_equiv_pos_as_xyz
'x,y,z'
'-x,-y,-z'
'-y+1/2,x,z'
'y+1/2,-x,-z'
'-x+1/2,-y+1/2,z'
'x+1/2,y+1/2,-z'
'y,-x+1/2,z'
'-y,x+1/2,-z'
'x+1/2,-y,-z'
'-x+1/2,y,z'
'-y,-x,-z'
'y,x,z'
'-x,y+1/2,-z'
'x,-y+1/2,z'
'y+1/2,x+1/2,-z'
'-y+1/2,-x+1/2,z'
loop_
_atom_site_label
_atom_site_type_symbol
_atom_site_fract_x
_atom_site_fract_y
_atom_site_fract_z
Tb1 Tb 0.2500 0.2500 0.2109
Er1 Er 0.2500 0.2500 0.7828
Hf1 Hf 0.2500 0.7500 0.5000

---

6.
# Tb6Er12Hf, optimized geometry, DFT PBE-GGA
# DFT formation energy (eV per atom): 0.4097
# Volume (Å³/cell): 1870.0
# Theoretical density (g cm⁻³): 8.4
data_Tb6Er12Hf
_chemical_formula_sum 'Tb18 Er36 Hf3'
_symmetry_space_group_name_H-M 'R -3 m'
_symmetry_Int_Tables_number 166
_symmetry_space_group_name_Hall '-R 3 2"'
_cell_length_a 16.1400
_cell_length_b 16.1400
_cell_length_c 8.2890
_cell_angle_alpha 90.00
_cell_angle_beta 90.00
_cell_angle_gamma 120.00
loop_
_atom_site_label
_atom_site_type_symbol
_atom_site_fract_x
_atom_site_fract_y
_atom_site_fract_z
Tb1 Tb 0.1074 0.2149 0.0696
Er1 Er 0.0000 0.3844 0.0000
Er2 Er 0.1022 0.2043 0.6345
Hf1 Hf 0.0000 0.0000 0.5000

---

7.
# Tb2ErHf, optimized geometry, DFT PBE-GGA
# Relative energy among the computed polymorphs (eV per atom): 0.239
# DFT formation energy (eV per atom): 0.3554
# Volume (Å³/cell): 345.3
# Theoretical density (g cm⁻³): 9.6
data_Tb2ErHf
_chemical_formula_sum 'Tb6 Er3 Hf3'
_symmetry_space_group_name_H-M 'R -3 m'
_symmetry_Int_Tables_number 166
_symmetry_space_group_name_Hall '-R 3 2"'
_cell_length_a 3.3347
_cell_length_b 3.3347
_cell_length_c 35.8564
_cell_angle_alpha 90.00
_cell_angle_beta 90.00
_cell_angle_gamma 120.00
loop_
_atom_site_label
_atom_site_type_symbol
_atom_site_fract_x
_atom_site_fract_y
_atom_site_fract_z
Tb1 Tb 0.0000 0.0000 0.0866
Er1 Er 0.0000 0.0000 0.5000
Hf1 Hf 0.0000 0.0000 0.0000

---

8.
# Tb2ErHf, optimized geometry, DFT PBE-GGA
# Relative energy among the computed polymorphs (eV per atom): 0.100
# DFT formation energy (eV per atom): 0.2161
# Volume (Å³/cell): 114.7
# Theoretical density (g cm⁻³): 9.6
data_Tb2ErHf
_chemical_formula_sum 'Tb2 Er1 Hf1'
_symmetry_space_group_name_H-M 'P 4/m m m'
_symmetry_Int_Tables_number 123
_symmetry_space_group_name_Hall '-P 4 2'
_cell_length_a 3.9862
_cell_length_b 3.9862
_cell_length_c 7.2189
_cell_angle_alpha 90.00
_cell_angle_beta 90.00
_cell_angle_gamma 90.00
loop_
_atom_site_label
_atom_site_type_symbol
_atom_site_fract_x
_atom_site_fract_y
_atom_site_fract_z
Tb1 Tb 0.0000 0.0000 0.2246
Er1 Er 0.5000 0.5000 0.5000
Hf1 Hf 0.5000 0.5000 0.0000

---

> Look up the DFT formation energy of the third one.

0.2989 eV per atom

---

> The lowest volume belongs to which entry?

number 8

---

> Look up the theoretical density of the seventh one.

9.6 g cm⁻³

---

> The highest volume belongs to which entry?

Tb12Er7Hf